No. 1
A relaxed K4Ce3USe8 crystal. Source: Alexandria, functional PBE. Values from VASP.

Geometry as Quantum ESPRESSO input:
```
&SYSTEM
  ibrav = 0, nat = 16, ntyp = 4
/
ATOMIC_SPECIES
K 39.10 K.upf
Ce 140.12 Ce.upf
U 238.03 U.upf
Se 78.96 Se.upf
CELL_PARAMETERS angstrom
-6.2043 -4.6718 3.8708
6.3348 -4.0401 5.2777
-0.4390 8.6661 0.0288
ATOMIC_POSITIONS angstrom
K -3.1021 -2.3359 1.9354
K -3.3217 1.9972 1.9498
K 0.0000 0.0000 0.0000
K -0.2195 4.3331 0.0144
Ce 0.0653 -4.3559 4.5742
Ce -0.1542 -0.0229 4.5886
Ce 2.9479 2.3130 2.6533
U 3.1674 -2.0201 2.6388
Se 2.6135 4.4995 4.6705
Se 2.8369 0.0902 4.6561
Se -0.0323 2.1624 2.5582
Se -0.5434 2.1224 6.6400
Se 0.2349 -2.1682 2.5373
Se -0.2762 -2.2082 6.6191
Se -3.1454 -0.1360 4.5212
Se -2.9220 -4.5453 4.5068
```

mass density = 4.79 g cm⁻³
electronic total energy = -5.405 eV per atom



No. 2
A relaxed SrIr2W crystal. Source: Alexandria, functional PBE. Values from VASP.

Geometry as Quantum ESPRESSO input:
```
&SYSTEM
  ibrav = 0, nat = 8, ntyp = 3
/
ATOMIC_SPECIES
Sr 87.62 Sr.upf
Ir 192.22 Ir.upf
W 183.84 W.upf
CELL_PARAMETERS angstrom
-4.4608 2.0168 -5.6960
-4.9447 -5.2877 2.0002
-6.1506 0.4231 0.0148
ATOMIC_POSITIONS angstrom
Sr -4.7028 -1.6355 -1.8479
Sr -7.8991 -3.2501 0.0835
Ir -5.2421 0.8402 -3.6872
Ir -4.8874 -3.0818 0.9227
Ir -7.8094 -0.5557 -1.5086
Ir -13.1735 -2.8984 -3.0890
W 0.0000 0.0000 0.0000
W -7.6571 0.4022 -3.7646
```

mass density = 12.33 g cm⁻³
electronic total energy = -7.608 eV per atom



No. 3
A relaxed K2CaHgSb2 crystal. Source: Alexandria, functional PBE. Values from VASP.

Geometry as Quantum ESPRESSO input:
```
&SYSTEM
  ibrav = 0, nat = 12, ntyp = 4
/
ATOMIC_SPECIES
K 39.10 K.upf
Ca 40.08 Ca.upf
Hg 200.59 Hg.upf
Sb 121.76 Sb.upf
CELL_PARAMETERS angstrom
-6.4165 1.1811 2.6334
-1.0766 -7.2675 0.6362
6.9389 3.2434 6.0537
ATOMIC_POSITIONS angstrom
K -0.6275 0.3918 3.4138
K 0.0733 -3.2349 5.9096
K 3.5337 -0.1390 4.3922
K -4.0879 -2.7041 4.9312
Ca -0.8074 -5.4507 0.4772
Ca -0.2691 -1.8169 0.1591
Hg -4.0157 -4.8601 1.7939
Hg -3.4774 -1.2263 1.4758
Sb -4.0836 0.9175 3.5705
Sb -1.5270 -3.2859 2.6184
Sb 0.9729 0.4429 6.7050
Sb 3.5294 -3.7605 5.7529
```

mass density = 4.32 g cm⁻³
electronic total energy = -2.683 eV per atom



No. 4
A relaxed K6CdHg2 crystal. Source: Alexandria, functional PBE. Values from VASP.

Geometry as Quantum ESPRESSO input:
```
&SYSTEM
  ibrav = 0, nat = 18, ntyp = 3
/
ATOMIC_SPECIES
K 39.10 K.upf
Cd 112.41 Cd.upf
Hg 200.59 Hg.upf
CELL_PARAMETERS angstrom
-4.7218 -6.1259 -6.9369
8.5835 4.3944 -3.8671
3.4113 -5.2494 8.2915
ATOMIC_POSITIONS angstrom
K 6.4423 -4.3950 0.2394
K 0.8307 -2.5859 -2.7519
K 4.7270 -3.6259 5.0384
K 2.5461 -3.3550 -7.5509
K 4.6132 -4.5397 -3.8545
K 2.6598 -2.4412 1.3420
K 8.8204 -2.8803 3.6143
K -1.5474 -4.1005 -6.1269
K 2.1978 -6.1885 -0.7684
K 5.0753 -0.7924 -1.7441
K 9.2035 -1.0866 -0.2214
K -1.9305 -5.8942 -2.2911
Cd 5.9974 -0.4275 2.2122
Cd 0.0000 0.0000 0.0000
Hg 3.9262 -6.0142 2.3672
Hg 3.3469 -0.9667 -4.8797
Hg -0.8400 -7.2918 0.8683
Hg -0.4704 -4.0835 0.4863
```

mass density = 2.90 g cm⁻³
electronic total energy = -1.019 eV per atom